The following is a PBE calculation of an optimized crystal structure of Tb3Sm2Dy6Pu, from Alexandria.

Output
M_tot: 6.38 Bohr magnetons per cell
calculated formation energy: 0.54 eV/f.u.
density of states at the Fermi level: 2.032 states/eV/atom
calculated volume: 31.5 Å³ per atom
DFT total energy: -5.39 eV per atom

a b c (Å): 6.152 6.152 11.727
angles (deg): 95.04 95.04 120.04
Fractional coordinates of all 12 atoms:
1 Tb 0.000 0.000 0.000
2 Tb 0.333 0.667 0.000
3 Tb 0.667 0.333 0.000
4 Sm 0.167 0.833 0.500
5 Sm 0.833 0.167 0.500
6 Dy 0.088 0.417 0.251
7 Dy 0.254 0.254 0.749
8 Dy 0.417 0.088 0.251
9 Dy 0.583 0.912 0.749
10 Dy 0.746 0.746 0.251
11 Dy 0.912 0.583 0.749
12 Pu 0.500 0.500 0.500